No. 1
# PrSmHo2

A relaxed PrSmHo2 crystal (GGA-PBE, Alexandria).

Unit cell a=3.605 b=3.605 c=10.137 alpha=90.00 beta=90.00 gamma=90.00
Positions (direct):
Pr  0.500  0.500  0.500
Ho  0.000  0.000  0.753
Ho  0.000  0.000  0.247
Sm  0.500  0.500  0.000

Calculated values
DFT total energy = -4.64 eV/atom
crystal system = tetragonal
ΔE_f = 0.088 eV per formula unit
size of the total moment = 0.0000 μB/atom
V = 32.9 Å³/atom

No. 2
# NaGa2CoHg

A relaxed NaGa2CoHg crystal (GGA-PBE, Alexandria).

Unit cell a=4.570 b=4.570 c=5.113 alpha=90.00 beta=90.00 gamma=90.00
Positions (direct):
Na  0.500  0.500  0.500
Co  0.000  0.000  0.000
Hg  0.000  0.000  0.500
Ga  0.000  0.500  0.000
Ga  0.500  0.000  0.000

Calculated values
DFT total energy = -3.07 eV/atom
crystal system = tetragonal
ΔE_f = -0.569 eV per formula unit
size of the total moment = 0.0000 μB/atom
V = 21.4 Å³/atom

No. 3
# Ac4TePb3

A relaxed Ac4TePb3 crystal (GGA-PBE, Alexandria).

Unit cell a=4.768 b=8.430 c=8.430 alpha=108.50 beta=90.00 gamma=90.00
Positions (direct):
Ac  0.000  0.251  0.251
Ac  0.500  0.751  0.249
Ac  0.000  0.749  0.749
Ac  0.500  0.249  0.751
Te  0.500  0.000  0.000
Pb  0.000  0.000  0.500
Pb  0.500  0.500  0.500
Pb  0.000  0.500  0.000

Calculated values
DFT total energy = -4.57 eV/atom
crystal system = orthorhombic
formation energy from raw total energies = -0.734 eV/atom
size of the total moment = 0.0000 μB/atom
V = 40.2 Å³/atom

No. 4
# LaYW

A relaxed LaYW crystal (GGA-PBE, Alexandria).

Unit cell a=7.187 b=7.187 c=3.520 alpha=75.83 beta=75.82 gamma=28.35
Positions (direct):
La  0.966  0.966  0.034
W  0.331  0.331  0.669
Y  0.704  0.704  0.296

Calculated values
DFT total energy = -7.59 eV/atom
crystal system = tetragonal
ΔE_f = 1.578 eV per formula unit
size of the total moment = 0.0000 μB/atom
V = 27.8 Å³/atom

No. 5
# CsK2Rb5Hg2

A relaxed CsK2Rb5Hg2 crystal (GGA-PBE, Alexandria).

Unit cell a=5.416 b=16.044 c=16.044 alpha=90.00 beta=90.00 gamma=90.00
Positions (direct):
Cs  0.000  0.000  0.000
Cs  0.000  0.500  0.500
K  0.000  0.670  0.170
K  0.000  0.330  0.830
K  0.000  0.170  0.330
K  0.000  0.830  0.670
Rb  0.500  0.227  0.074
Rb  0.500  0.773  0.926
Rb  0.500  0.074  0.773
Rb  0.500  0.727  0.426
Rb  0.500  0.926  0.227
Rb  0.500  0.273  0.574
Rb  0.500  0.574  0.727
Rb  0.500  0.426  0.273
Rb  0.500  0.500  0.000
Rb  0.500  0.000  0.500
Hg  0.000  0.117  0.617
Hg  0.000  0.883  0.383
Hg  0.000  0.617  0.883
Hg  0.000  0.383  0.117

Calculated values
DFT total energy = -0.91 eV/atom
crystal system = tetragonal
ΔE_f = -0.651 eV per formula unit
size of the total moment = 0.0000 μB/atom
V = 69.7 Å³/atom

No. 6
# CdTc2Mo

A relaxed CdTc2Mo crystal (GGA-PBE, Alexandria).

Unit cell a=7.258 b=7.258 c=5.827 alpha=51.48 beta=51.48 gamma=90.00
Positions (direct):
Mo  0.500  0.500  0.000
Mo  0.250  0.750  0.500
Tc  0.577  0.125  0.250
Tc  0.173  0.625  0.250
Tc  0.375  0.423  0.750
Tc  0.875  0.827  0.750
Cd  0.000  0.000  0.000
Cd  0.750  0.250  0.500

Calculated values
DFT total energy = -7.30 eV/atom
crystal system = tetragonal
ΔE_f = 3.282 eV per formula unit
size of the total moment = 0.0000 μB/atom
V = 18.2 Å³/atom

No. 7
# YAlMo

A relaxed YAlMo crystal (GGA-PBE, Alexandria).

Unit cell a=3.386 b=3.386 c=6.427 alpha=90.00 beta=90.00 gamma=120.00
Positions (direct):
Y  0.667  0.333  0.650
Mo  0.333  0.667  0.308
Al  0.000  0.000  0.042

Calculated values
DFT total energy = -6.69 eV/atom
crystal system = trigonal
ΔE_f = 0.955 eV per formula unit
size of the total moment = 0.0000 μB/atom
V = 21.3 Å³/atom

No. 8
# Sr6GaN5

A relaxed Sr6GaN5 crystal (GGA-PBE, Alexandria).

Unit cell a=6.718 b=6.718 c=13.077 alpha=90.00 beta=90.00 gamma=120.00
Positions (direct):
Sr  0.592  0.592  0.876
Sr  0.408  0.000  0.876
Sr  0.000  0.408  0.876
Sr  0.000  0.592  0.376
Sr  0.408  0.000  0.624
Sr  0.408  0.408  0.376
Sr  0.592  0.000  0.376
Sr  0.408  0.408  0.124
Sr  0.000  0.592  0.124
Sr  0.000  0.408  0.624
Sr  0.592  0.592  0.624
Sr  0.592  0.000  0.124
Ga  0.000  0.000  0.750
Ga  0.000  0.000  0.250
N  0.715  0.000  0.750
N  0.715  0.715  0.250
N  0.000  0.285  0.250
N  0.000  0.715  0.750
N  0.285  0.285  0.750
N  0.333  0.667  0.000
N  0.285  0.000  0.250
N  0.667  0.333  0.000
N  0.667  0.333  0.500
N  0.333  0.667  0.500

Calculated values
DFT total energy = -5.16 eV/atom
crystal system = hexagonal
formation energy from raw total energies = -0.598 eV/atom
size of the total moment = 0.0000 μB/atom
V = 21.3 Å³/atom

No. 9
# Ac2AlVGe6

A relaxed Ac2AlVGe6 crystal (GGA-PBE, Alexandria).

Unit cell a=6.477 b=8.192 c=8.753 alpha=90.00 beta=90.00 gamma=90.00
Positions (direct):
Ac  0.500  0.747  0.253
Ac  0.000  0.253  0.753
Ac  0.500  0.747  0.747
Ac  0.000  0.253  0.247
Al  0.000  0.626  0.500
Al  0.500  0.374  0.000
V  0.500  0.171  0.500
V  0.000  0.829  0.000
Ge  0.500  0.171  0.215
Ge  0.500  0.171  0.785
Ge  0.000  0.829  0.285
Ge  0.000  0.829  0.715
Ge  0.208  0.978  0.500
Ge  0.792  0.978  0.500
Ge  0.309  0.444  0.500
Ge  0.691  0.444  0.500
Ge  0.809  0.556  0.000
Ge  0.191  0.556  0.000
Ge  0.292  0.022  0.000
Ge  0.708  0.022  0.000

Calculated values
DFT total energy = -5.22 eV/atom
crystal system = orthorhombic
ΔE_f = -3.387 eV per formula unit
size of the total moment = 0.0799 μB/atom
V = 23.2 Å³/atom

No. 10
# Na4B7C

A relaxed Na4B7C crystal (GGA-PBE, Alexandria).

Unit cell a=2.754 b=8.745 c=10.934 alpha=90.00 beta=90.00 gamma=90.00
Positions (direct):
Na  0.000  0.000  0.000
Na  0.000  0.500  0.000
Na  0.500  0.000  0.249
Na  0.500  0.500  0.249
Na  0.000  0.000  0.500
Na  0.000  0.500  0.500
Na  0.500  0.000  0.751
Na  0.500  0.500  0.751
C  0.500  0.750  0.080
C  0.500  0.250  0.920
B  0.000  0.250  0.165
B  0.500  0.250  0.062
B  0.000  0.750  0.155
B  0.000  0.750  0.315
B  0.500  0.250  0.424
B  0.000  0.250  0.321
B  0.500  0.750  0.418
B  0.500  0.750  0.576
B  0.000  0.250  0.685
B  0.500  0.250  0.582
B  0.000  0.750  0.679
B  0.000  0.750  0.835
B  0.000  0.250  0.845
B  0.500  0.750  0.938

Calculated values
DFT total energy = -4.88 eV/atom
crystal system = orthorhombic
ΔE_f = 2.666 eV per formula unit
size of the total moment = 0.0000 μB/atom
V = 11.0 Å³/atom

No. 11
# La6ScZn2

A relaxed La6ScZn2 crystal (GGA-PBE, Alexandria).

Unit cell a=3.730 b=6.727 c=11.841 alpha=75.01 beta=80.94 gamma=73.90
Positions (direct):
La  0.682  0.513  0.122
La  0.318  0.487  0.878
La  0.308  0.784  0.600
La  0.966  0.743  0.325
La  0.034  0.257  0.675
La  0.692  0.216  0.400
Sc  0.000  0.000  0.000
Zn  0.364  0.100  0.172
Zn  0.636  0.900  0.828

Calculated values
DFT total energy = -4.39 eV/atom
crystal system = monoclinic
ΔE_f = -1.031 eV per formula unit
size of the total moment = 0.0000 μB/atom
V = 30.5 Å³/atom

No. 12
# PmSmAlAu

A relaxed PmSmAlAu crystal (GGA-PBE, Alexandria).

Unit cell a=5.253 b=5.253 c=5.253 alpha=60.00 beta=60.00 gamma=60.00
Positions (direct):
Au  0.000  0.000  0.000
Al  0.500  0.500  0.500
Sm  0.750  0.750  0.750
Pm  0.250  0.250  0.250

Calculated values
DFT total energy = -4.62 eV/atom
crystal system = cubic
ΔE_f = -2.008 eV per formula unit
size of the total moment = 0.0958 μB/atom
V = 25.6 Å³/atom

> Which of these has the lowest DFT total energy?

LaYW